1.
PBE-GGA NaIn3Os, relaxed; energy above the most stable polymorph in this dataset = 0.00 kcal/mol of atoms; SG = No. 221; calculated total energy = -20.35 eV per formula unit
1.0
5.213 0.000 0.000
0.000 5.213 0.000
0.000 0.000 5.213
Na Os In
1 1 3
Cartesian
2.606 2.606 2.606
0.000 0.000 0.000
0.000 2.606 0.000
0.000 0.000 2.606
2.606 0.000 0.000

***

2.
PBE-GGA Na3InOs, relaxed; energy above the most stable polymorph in this dataset = 0.00 kcal/mol of atoms; SG = No. 221; calculated total energy = -11.76 eV per formula unit
1.0
-4.260 3.076 -1.591
-0.459 -3.001 -4.575
-3.433 -3.417 2.586
Na Os In
3 1 1
Cartesian
-0.229 -1.501 -2.287
-1.716 -1.708 1.293
-2.130 1.538 -0.796
0.000 0.000 0.000
-4.076 -1.671 -1.790

***

3.
PBE-GGA Na2In2Os, relaxed; energy above the most stable polymorph in this dataset = 2.37 kcal/mol of atoms; SG = No. 139; calculated total energy = -14.52 eV per formula unit
1.0
-1.552 -2.669 -4.217
-1.393 -4.009 3.050
-5.005 -1.843 -0.231
Na Os In
2 1 2
Cartesian
-2.458 -2.922 -0.485
-5.492 -5.600 -0.913
0.000 0.000 0.000
-4.015 -3.926 -2.516
-3.935 -4.596 1.118

***

4.
PBE-GGA Na2In2Os, relaxed; energy above the most stable polymorph in this dataset = 0.00 kcal/mol of atoms; SG = No. 127; calculated total energy = -15.04 eV per formula unit
1.0
8.569 0.000 0.000
0.000 8.569 0.000
0.000 0.000 2.914
Na Os In
4 2 4
Cartesian
3.234 7.519 0.000
7.519 5.334 0.000
5.334 1.050 0.000
1.050 3.234 0.000
0.000 0.000 0.000
4.284 4.284 0.000
1.519 5.804 1.457
5.804 7.050 1.457
7.050 2.765 1.457
2.765 1.519 1.457

***

5.
PBE-GGA NaInOs2Pb, relaxed; SG = No. 123; calculated total energy = -21.58 eV per formula unit
1.0
-4.466 1.845 1.215
-1.672 -1.016 -4.603
-1.451 -4.516 1.524
Pb Na Os In
1 1 2 1
Cartesian
-3.795 -1.844 -0.932
-0.836 -0.508 -2.302
-0.726 -2.258 0.762
-2.233 0.922 0.607
0.000 0.000 0.000

***

6.
PBE-GGA NaIn2OsRh, relaxed; SG = No. 123; calculated total energy = -22.95 eV per formula unit
1.0
5.182 0.000 0.000
0.000 4.838 0.000
0.000 0.000 5.182
Na Rh Os In
1 1 1 2
Cartesian
2.591 2.419 2.591
0.000 2.419 0.000
0.000 0.000 0.000
0.000 0.000 2.591
2.591 0.000 0.000

***

7.
PBE-GGA NaZrInOs2, relaxed; SG = No. 123; calculated total energy = -27.13 eV per formula unit
1.0
-1.272 -3.460 -3.255
-0.101 -3.080 3.313
-4.750 1.005 0.789
Na Os Zr In
1 2 1 1
Cartesian
-0.051 -1.540 1.656
-2.375 0.502 0.394
-0.636 -1.730 -1.628
-3.062 -2.768 0.423
0.000 0.000 0.000

***

8.
PBE-GGA NaIn3P, relaxed; energy above the most stable polymorph in this dataset = 14.09 kcal/mol of atoms; SG = No. 221; calculated total energy = -10.80 eV per formula unit
1.0
-2.607 2.162 -4.216
-4.655 -2.068 1.818
-0.886 4.505 2.857
P Na In
1 1 3
Cartesian
-4.074 2.299 0.229
0.000 0.000 0.000
-2.327 -1.034 0.909
-0.443 2.253 1.429
-1.303 1.081 -2.108

***

9.
PBE-GGA Na2InP, relaxed; energy above the most stable polymorph in this dataset = 0.00 kcal/mol of atoms; SG = No. 225; calculated total energy = -11.11 eV per formula unit
1.0
-2.016 -4.297 1.748
-4.722 -0.024 1.814
-3.691 -2.297 -2.586
P Na In
1 2 1
Cartesian
0.000 0.000 0.000
-2.607 -1.654 0.244
-7.822 -4.963 0.731
-5.215 -3.309 0.488

***

10.
PBE-GGA NaIn3P, relaxed; energy above the most stable polymorph in this dataset = 0.00 kcal/mol of atoms; SG = No. 221; calculated total energy = -13.86 eV per formula unit
1.0
-1.334 1.318 -4.990
4.518 -2.194 -1.787
-2.495 -4.676 -0.568
P Na In
1 1 3
Cartesian
0.000 0.000 0.000
0.344 -2.776 -3.672
2.259 -1.097 -0.894
-1.248 -2.338 -0.284
-0.667 0.659 -2.495

***

11.
PBE-GGA Na5InP2, relaxed; SG = No. 194; calculated total energy = -21.62 eV per formula unit
1.0
5.108 0.000 0.000
-2.554 4.424 0.000
0.000 0.000 18.154
Na In P
10 2 4
Cartesian
0.000 0.000 6.569
0.000 0.000 2.508
2.554 1.475 4.539
0.000 0.000 15.647
2.554 1.475 0.954
0.000 2.949 13.616
0.000 2.949 17.200
0.000 2.949 10.031
2.554 1.475 8.123
0.000 0.000 11.585
0.000 2.949 4.539
2.554 1.475 13.616
2.554 1.475 11.047
0.000 2.949 1.970
0.000 2.949 7.108
2.554 1.475 16.185

***

12.
PBE-GGA Na5InP3, relaxed; SG = No. 15; calculated total energy = -27.78 eV per formula unit
1.0
-4.611 -4.810 0.099
6.534 -1.744 -4.675
2.360 -2.080 8.836
Na In P
10 2 6
Cartesian
0.589 -2.792 6.652
3.846 -5.954 5.142
-1.789 -5.182 -0.635
0.437 -2.680 -0.882
2.626 -4.775 0.526
-2.840 -4.098 2.283
5.036 -2.441 0.673
-0.754 -6.193 3.587
1.656 -3.858 3.734
6.072 -3.451 4.895
-1.687 -5.166 6.701
-0.564 -1.724 2.234
0.000 0.000 0.000
-0.059 -4.179 1.495
1.180 -1.040 4.418
4.342 -4.455 2.765
0.772 -5.583 5.921
3.511 -3.051 -1.661

***

| no. | calculated formation energy (eV per atom) | calculated volume (A^3/atom) |
| --- | --- | --- |
| 1 | 0.08 | 28.33 |
| 2 | 1.23 | 33.10 |
| 3 | 0.96 | 21.05 |
| 4 | 0.86 | 21.40 |
| 5 | 1.73 | 24.84 |
| 6 | 0.48 | 25.98 |
| 7 | 1.59 | 21.89 |
| 8 | 0.83 | 31.63 |
| 9 | -0.08 | 22.88 |
| 10 | 0.22 | 30.29 |
| 11 | -0.18 | 25.64 |
| 12 | -0.25 | 24.76 |